[1]
This record from OQMD describes LuScNO after structural relaxation. The functional is GGA-PBE.

Unit cell a=3.8967 b=3.8967 c=7.7272 alpha=90.00 beta=90.00 gamma=90.00
With the nearest neighbours (Å) after each atom.
Fractional positions:
Lu  0.2500  0.2500  0.1246  4 O 2.17
Lu  0.7500  0.7500  0.8754  4 O 2.17
Sc  0.2500  0.7500  0.5000  4 N 2.19
Sc  0.7500  0.2500  0.5000  4 N 2.19
N  0.2500  0.2500  0.6302  4 Sc 2.19
N  0.7500  0.7500  0.3698  4 Sc 2.19
O  0.2500  0.7500  0.0000  4 Lu 2.17
O  0.7500  0.2500  0.0000  4 Lu 2.17

Volume ... 117 Å³/cell
Space group ... P4/nmm, No. 129
Total energy ... -64.16 eV/cell
Total moment ... 0.0 μB per formula unit
Mass density ... 7.1 Mg/m³

***

[2]
This record from OQMD describes LuScNO after structural relaxation. The functional is GGA-PBE.

Unit cell a=4.5625 b=3.8083 c=6.5286 alpha=90.00 beta=90.00 gamma=90.00
With the nearest neighbours (Å) after each atom.
Fractional positions:
Lu  0.2500  0.0000  0.1702  2 N 2.21, 3 O 2.28
Lu  0.7500  0.0000  0.8298  2 N 2.21, 3 O 2.28
Sc  0.2500  0.5000  0.6634  3 N 2.10-2.28, 2 O 2.16
Sc  0.7500  0.5000  0.3366  3 N 2.10-2.28, 2 O 2.16
N  0.2500  0.5000  0.3422  3 Sc 2.10-2.28, 2 Lu 2.21
N  0.7500  0.5000  0.6578  3 Sc 2.10-2.28, 2 Lu 2.21
O  0.2500  0.0000  0.8205  2 Sc 2.16, 3 Lu 2.28
O  0.7500  0.0000  0.1795  2 Sc 2.16, 3 Lu 2.28

Volume ... 113 Å³/cell
Space group ... Pmma, No. 51
Total energy ... -66.89 eV/cell
Total moment ... 0.0 μB per formula unit
Mass density ... 7.3 Mg/m³

***

[3]
This record from OQMD describes LuSiNO after structural relaxation. The functional is GGA-PBE.

Unit cell a=3.8813 b=3.8813 c=7.0568 alpha=90.00 beta=90.00 gamma=90.00
With the nearest neighbours (Å) after each atom.
Fractional positions:
Lu  0.2500  0.2500  0.1443  4 O 2.19
Lu  0.7500  0.7500  0.8557  4 O 2.19
Si  0.2500  0.7500  0.5000  4 N 1.94
Si  0.7500  0.2500  0.5000  4 N 1.94
N  0.2500  0.2500  0.4965  4 Si 1.94
N  0.7500  0.7500  0.5035  4 Si 1.94
O  0.2500  0.7500  0.0000  4 Lu 2.19
O  0.7500  0.2500  0.0000  4 Lu 2.19

Volume ... 106 Å³/cell
Space group ... P4/nmm, No. 129
Total energy ... -58.19 eV/cell
Total moment ... 0.0 μB per formula unit
Mass density ... 7.3 Mg/m³

***

[4]
This record from OQMD describes LuSiNO after structural relaxation. The functional is GGA-PBE.

Unit cell a=5.2646 b=7.9724 c=4.8560 alpha=90.00 beta=90.00 gamma=90.00
With the nearest neighbours (Å) after each atom.
Fractional positions:
Lu  0.0270  0.1266  0.0000  1 O 2.25
Lu  0.4730  0.1266  0.5000  1 O 2.25
Lu  0.5270  0.8734  0.0000  1 O 2.25
Lu  0.9730  0.8734  0.5000  1 O 2.25
Si  0.0747  0.5918  0.9423  1 O 1.61, 3 N 1.77-1.78
Si  0.4253  0.5918  0.4423  1 O 1.61, 3 N 1.77-1.78
Si  0.5747  0.4082  0.9423  1 O 1.61, 3 N 1.77-1.78
Si  0.9253  0.4082  0.4423  1 O 1.61, 3 N 1.77-1.78
N  0.1168  0.5709  0.5819  3 Si 1.77-1.78
N  0.3832  0.5709  0.0819  3 Si 1.77-1.78
N  0.6168  0.4291  0.5819  3 Si 1.77-1.78
N  0.8832  0.4291  0.0819  3 Si 1.77-1.78
O  0.0803  0.2390  0.5060  1 Si 1.61
O  0.4197  0.2390  0.0060  1 Si 1.61
O  0.5803  0.7610  0.5060  1 Si 1.61
O  0.9197  0.7610  0.0060  1 Si 1.61

Volume ... 204 Å³/cell
Space group ... Pca2_1, No. 29
Total energy ... -117.34 eV/cell
Total moment ... 0.0 μB per formula unit
Mass density ... 7.6 Mg/m³

***

[5]
This record from OQMD describes LuSiNO after structural relaxation. The functional is GGA-PBE.

Unit cell a=3.6765 b=4.7203 c=5.2197 alpha=90.00 beta=90.00 gamma=90.00
With the nearest neighbours (Å) after each atom.
Fractional positions:
Lu  0.0000  0.2318  0.0000  2 O 2.26-2.46, 4 N 2.50-2.51
Lu  0.0000  0.7682  0.5000  2 O 2.26-2.46, 4 N 2.50-2.51
Si  0.5000  0.2620  0.5026  2 N 1.79-1.80, 2 O 1.84
Si  0.5000  0.7380  0.0026  2 N 1.79-1.80, 2 O 1.84
N  0.5000  0.0042  0.2506  2 Si 1.79-1.80
N  0.5000  0.9958  0.7506  2 Si 1.79-1.80
O  0.0000  0.2900  0.5083  2 Si 1.84
O  0.0000  0.7100  0.0083  2 Si 1.84

Volume ... 91 Å³/cell
Space group ... Pmc2_1, No. 26
Total energy ... -59.55 eV/cell
Total moment ... 0.0 μB per formula unit
Mass density ... 8.5 Mg/m³

***

[6]
This record from OQMD describes LuSiNO after structural relaxation. The functional is GGA-PBE.

Unit cell a=4.4804 b=4.4804 c=4.8213 alpha=90.00 beta=90.00 gamma=90.00
With the nearest neighbours (Å) after each atom.
Fractional positions:
Lu  0.2500  0.7500  0.0000  4 N 2.34, 2 O 2.41
Lu  0.7500  0.2500  0.0000  4 N 2.34, 2 O 2.41
Si  0.2500  0.2500  0.4965  1 N 1.74
Si  0.7500  0.7500  0.5035  1 N 1.74
N  0.2500  0.2500  0.8573  1 Si 1.74
N  0.7500  0.7500  0.1427  1 Si 1.74
O  0.2500  0.7500  0.5000  4 Si 2.24, 2 Lu 2.41
O  0.7500  0.2500  0.5000  4 Si 2.24, 2 Lu 2.41

Volume ... 97 Å³/cell
Space group ... P4/nmm, No. 129
Total energy ... -57.68 eV/cell
Total moment ... 0.0 μB per formula unit
Mass density ... 8.0 Mg/m³

***

[7]
This record from OQMD describes LuSiNO after structural relaxation. The functional is GGA-PBE.

Unit cell a=3.1424 b=5.7969 c=5.8052 alpha=90.00 beta=90.00 gamma=90.00
With the nearest neighbours (Å) after each atom.
Fractional positions:
Lu  0.0000  0.2065  0.0000  2 O 2.14, 2 N 2.26-2.36
Lu  0.0000  0.7935  0.5000  2 O 2.14, 2 N 2.26-2.36
Si  0.5000  0.2553  0.4714  1 O 1.69, 2 N 1.82
Si  0.5000  0.7447  0.9714  1 O 1.69, 2 N 1.82
N  0.0000  0.1847  0.6117  2 Si 1.82
N  0.0000  0.8153  0.1117  2 Si 1.82
O  0.5000  0.4539  0.9574  1 Si 1.69
O  0.5000  0.5461  0.4574  1 Si 1.69

Volume ... 106 Å³/cell
Space group ... Pmc2_1, No. 26
Total energy ... -59.83 eV/cell
Total moment ... 0.0 μB per formula unit
Mass density ... 7.3 Mg/m³

***

[8]
This record from OQMD describes LuSiNO after structural relaxation. The functional is GGA-PBE.

Unit cell a=6.4426 b=6.9140 c=4.7914 alpha=90.00 beta=90.00 gamma=90.00
With the nearest neighbours (Å) after each atom.
Fractional positions:
Lu  0.0851  0.1669  0.0000  1 O 2.04, 1 N 2.26
Lu  0.4149  0.1669  0.5000  1 O 2.04, 1 N 2.26
Lu  0.5851  0.8331  0.0000  1 O 2.04, 1 N 2.26
Lu  0.9149  0.8331  0.5000  1 O 2.04, 1 N 2.26
Si  0.1430  0.6886  0.0003  1 O 1.60, 1 N 1.76
Si  0.3570  0.6886  0.5003  1 O 1.60, 1 N 1.76
Si  0.6430  0.3114  0.0003  1 O 1.60, 1 N 1.76
Si  0.8570  0.3114  0.5003  1 O 1.60, 1 N 1.76
N  0.0648  0.1453  0.5025  1 Si 1.76
N  0.4352  0.1453  0.0025  1 Si 1.76
N  0.5648  0.8547  0.5025  1 Si 1.76
N  0.9352  0.8547  0.0025  1 Si 1.76
O  0.0943  0.4618  0.0169  1 Si 1.60
O  0.4057  0.4618  0.5169  1 Si 1.60
O  0.5943  0.5382  0.0169  1 Si 1.60
O  0.9057  0.5382  0.5169  1 Si 1.60

Volume ... 213 Å³/cell
Space group ... Pca2_1, No. 29
Total energy ... -120.33 eV/cell
Total moment ... 0.0 μB per formula unit
Mass density ... 7.3 Mg/m³

***

[9]
This record from OQMD describes SmLuNO after structural relaxation. The functional is GGA-PBE.

Unit cell a=4.8526 b=3.9637 c=6.8923 alpha=90.00 beta=90.00 gamma=90.00
With the nearest neighbours (Å) after each atom.
Fractional positions:
Sm  0.2500  0.0000  0.1639  2 N 2.35, 3 O 2.44-2.49
Sm  0.7500  0.0000  0.8361  2 N 2.35, 3 O 2.44-2.49
Lu  0.2500  0.5000  0.6647  3 N 2.19-2.43, 2 O 2.20
Lu  0.7500  0.5000  0.3353  3 N 2.19-2.43, 2 O 2.20
N  0.2500  0.5000  0.3469  3 Lu 2.19-2.43, 2 Sm 2.35
N  0.7500  0.5000  0.6531  3 Lu 2.19-2.43, 2 Sm 2.35
O  0.2500  0.0000  0.8032  2 Lu 2.20, 2 Sm 2.44
O  0.7500  0.0000  0.1968  2 Lu 2.20, 2 Sm 2.44

Volume ... 133 Å³/cell
Space group ... Pmma, No. 51
Total energy ... -62.80 eV/cell
Total moment ... 0.0 μB per formula unit
Mass density ... 8.9 Mg/m³

***

[10]
This record from OQMD describes SmLuNO after structural relaxation. The functional is GGA-PBE.

Unit cell a=4.0417 b=6.7791 c=4.9028 alpha=90.00 beta=90.00 gamma=90.00
With the nearest neighbours (Å) after each atom.
Fractional positions:
Sm  0.0000  0.1623  0.0000  2 O 2.40, 3 N 2.40-2.46
Sm  0.0000  0.8377  0.5000  2 O 2.40, 3 N 2.40-2.46
Lu  0.5000  0.3237  0.5005  1 O 2.18, 2 N 2.21
Lu  0.5000  0.6763  0.0005  1 O 2.18, 2 N 2.21
N  0.0000  0.1924  0.5002  2 Lu 2.21, 3 Sm 2.40-2.46
N  0.0000  0.8076  0.0002  2 Lu 2.21, 3 Sm 2.40-2.46
O  0.5000  0.3543  0.9985  1 Lu 2.18, 2 Sm 2.40
O  0.5000  0.6457  0.4985  1 Lu 2.18, 2 Sm 2.40

Volume ... 134 Å³/cell
Space group ... Pmc2_1, No. 26
Total energy ... -62.41 eV/cell
Total moment ... 0.0 μB per formula unit
Mass density ... 8.8 Mg/m³